1.
# Ca3Au4

A relaxed structure of Ca3Au4 (GGA-PBE, the Alexandria database).

Output
The total magnetic moment is 0.00 μB/f.u. The energy above the most stable polymorph in this dataset comes out at 0.00 kJ per mole of atoms. Its electronic total energy is -0.258 Ry/atom. The crystal system is trigonal.

Cell: 13.7671 13.7671 6.1002 Å, 90.00 90.00 120.00°
Space group R-3 (No. 148, hexagonal axes)
Asymmetric unit:
Ca (0.0447, 0.2086, 0.2367)
Au (0.0000, 0.0000, 0.0000)
Au (0.0000, 0.0000, 0.5000)
Au (0.0554, 0.2765, 0.7214)

2.
# CaAu4

A relaxed structure of CaAu4 (GGA-PBE, the Alexandria database).

Output
The total magnetic moment is 0.00 μB/f.u. Its electronic total energy is -0.165 Ry/atom. The crystal system is cubic.

Cell: 5.333 5.333 5.333 Å, 90.00 90.00 90.00°
Space group Pm-3m (No. 221)
Asymmetric unit:
Ca (0.000, 0.000, 0.000)
Au (0.000, 0.000, 0.500)
Au (0.500, 0.500, 0.500)

3.
# Ca3Au

A relaxed structure of Ca3Au (GGA-PBE, the Alexandria database).

Output
The total magnetic moment is 0.00 μB/f.u. Its electronic total energy is -0.205 Ry/atom. The crystal system is tetragonal.

Cell: 12.612 12.612 6.399 Å, 90.00 90.00 90.00°
Space group P4_2/n (No. 86, origin choice 2)
Asymmetric unit:
Ca (0.030, 0.581, 0.229)
Ca (0.115, 0.212, 0.022)
Ca (0.133, 0.666, 0.721)
Au (0.045, 0.199, 0.529)

4.
# Ca7Au6

A relaxed structure of Ca7Au6 (GGA-PBE, the Alexandria database).

Output
The total magnetic moment is 0.00 μB/f.u. Its electronic total energy is -0.207 Ry/atom. The crystal system is trigonal.

Cell: 6.8731 6.8731 30.8537 Å, 90.00 90.00 120.00°
Space group R-3m (No. 166, hexagonal axes)
Asymmetric unit:
Ca (0.0000, 0.0000, 0.0000)
Ca (0.0076, 0.5038, 0.4290)
Au (0.0000, 0.0000, 0.1653)
Au (0.0000, 0.0000, 0.3123)
Au (0.0000, 0.0000, 0.4047)

5.
# CaAu4

A relaxed structure of CaAu4 (GGA-PBE, the Alexandria database).

Output
The total magnetic moment is 0.00 μB/f.u. Its electronic total energy is -0.203 Ry/atom. The crystal system is cubic.

Cell: 6.387 6.387 6.387 Å, 90.00 90.00 90.00°
Space group Im-3m (No. 229)
Asymmetric unit:
Ca (0.000, 0.000, 0.000)
Au (0.250, 0.250, 0.250)

6.
# CaAu12

A relaxed structure of CaAu12 (GGA-PBE, the Alexandria database).

Output
The total magnetic moment is 0.00 μB/f.u. The energy above the most stable polymorph in this dataset comes out at 0.00 kJ per mole of atoms. Its electronic total energy is -0.245 Ry/atom. The crystal system is tetragonal.

Cell: 9.477 9.477 5.726 Å, 90.00 90.00 90.00°
Space group I4/mmm (No. 139)
Asymmetric unit:
Ca (0.000, 0.000, 0.000)
Au (0.000, 0.216, 0.500)
Au (0.000, 0.347, 0.000)
Au (0.250, 0.250, 0.250)

7.
# Ca2Au7

A relaxed structure of Ca2Au7 (GGA-PBE, the Alexandria database).

Output
The total magnetic moment is 0.00 μB/f.u. Its electronic total energy is -0.256 Ry/atom. The crystal system is trigonal.

Cell: 5.6157 5.6157 42.4254 Å, 90.00 90.00 120.00°
Space group R-3m (No. 166, hexagonal axes)
Asymmetric unit:
Ca (0.0000, 0.0000, 0.0497)
Ca (0.0000, 0.0000, 0.1490)
Au (0.0000, 0.0000, 0.2771)
Au (0.0000, 0.0000, 0.3894)
Au (0.0000, 0.0000, 0.5000)
Au (0.0000, 0.5000, 0.0000)
Au (0.0040, 0.5020, 0.8874)

8.
# Ca3Au5

A relaxed structure of Ca3Au5 (GGA-PBE, the Alexandria database).

Output
The total magnetic moment is 0.00 μB/f.u. The energy above the most stable polymorph in this dataset comes out at 9.24 kJ per mole of atoms. Its electronic total energy is -0.255 Ry/atom. The crystal system is orthorhombic.

Cell: 7.413 9.624 5.089 Å, 90.00 90.00 90.00°
Space group Cmmm (No. 65)
Asymmetric unit:
Ca (0.000, 0.000, 0.000)
Ca (0.000, 0.293, 0.500)
Au (0.000, 0.500, 0.000)
Au (0.200, 0.000, 0.500)
Au (0.250, 0.250, 0.000)

9.
# Ca5Au

A relaxed structure of Ca5Au (GGA-PBE, the Alexandria database).

Output
The total magnetic moment is 0.00 μB/f.u. The energy above the most stable polymorph in this dataset comes out at 0.00 kJ per mole of atoms. Its electronic total energy is -0.182 Ry/atom. The crystal system is monoclinic.

Cell: 13.153 3.827 9.156 Å, 90.00 111.91 90.00°
Space group Cm (No. 8)
Asymmetric unit:
Ca (0.000, 0.000, 0.000)
Ca (0.045, 0.000, 0.414)
Ca (0.171, 0.500, 0.787)
Ca (0.296, 0.000, 0.161)
Ca (0.342, 0.000, 0.575)
Au (0.171, 0.500, 0.288)

10.
# Ca3Au5

A relaxed structure of Ca3Au5 (GGA-PBE, the Alexandria database).

Output
The total magnetic moment is 0.00 μB/f.u. The energy above the most stable polymorph in this dataset comes out at 0.00 kJ per mole of atoms. Its electronic total energy is -0.262 Ry/atom. The crystal system is hexagonal.

Cell: 7.3087 7.3087 4.0510 Å, 90.00 90.00 120.00°
Space group P-62m (No. 189)
Asymmetric unit:
Ca (0.0000, 0.3753, 0.0000)
Au (0.0000, 0.7679, 0.5000)
Au (0.3333, 0.6667, 0.5000)

11.
# Ca3Cd2Au3

A relaxed structure of Ca3Cd2Au3 (GGA-PBE, the Alexandria database).

Output
The total magnetic moment is 0.00 μB/f.u. Its electronic total energy is -0.207 Ry/atom. The crystal system is hexagonal.

Cell: 8.8211 8.8211 5.9579 Å, 90.00 90.00 120.00°
Space group P6_3/mcm (No. 193)
Asymmetric unit:
Ca (0.0000, 0.2800, 0.2500)
Cd (0.3333, 0.6667, 0.0000)
Au (0.0000, 0.3795, 0.7500)

12.
# CaCd9Au2

A relaxed structure of CaCd9Au2 (GGA-PBE, the Alexandria database).

Output
The total magnetic moment is 0.00 μB/f.u. Its electronic total energy is -0.117 Ry/atom. The crystal system is tetragonal.

Cell: 11.938 11.938 7.642 Å, 90.00 90.00 90.00°
Space group I4_1/amd (No. 141, origin choice 2)
Asymmetric unit:
Ca (0.000, 0.250, 0.375)
Cd (0.000, 0.250, 0.875)
Cd (0.121, 0.049, 0.676)
Au (0.000, 0.000, 0.000)